A relaxed structure of PrY3Sc2, computed with PBE-GGA.

Its crystal system is monoclinic. The total energy is -5.98 eV/atom. The calculation puts the magnetic moment at 0.0 μB per formula unit.

The structure belongs to space group C2/m (No. 12); the cell edges are 22.867, 3.420 and 9.970 Å and the angles 90.00°, 107.93° and 90.00°. The inequivalent atoms are Pr at (0.182, 0.000, 0.048), Y at (0.060, 0.000, 0.437), Y at (0.066, 0.500, 0.772), Y at (0.197, 0.000, 0.709), Sc at (0.070, 0.500, 0.143) and Sc at (0.192, 0.000, 0.375).


A relaxed structure of Pr9Y2Sc, computed with PBE-GGA.

Its crystal system is tetragonal. The total energy is -5.17 eV/atom. The calculation puts the magnetic moment at 0.0 μB per formula unit.

The structure belongs to space group P4/mmm (No. 123); the cell edges are 5.161, 5.161 and 15.501 Å and the angles 90.00°, 90.00° and 90.00°. The inequivalent atoms are Pr at (0.000, 0.000, 0.000), Pr at (0.000, 0.000, 0.331), Pr at (0.000, 0.500, 0.162), Pr at (0.000, 0.500, 0.500), Y at (0.500, 0.500, 0.331) and Sc at (0.500, 0.500, 0.000).


Question: What is the magnetic moment in the first record?
Answer: 0.0 μB per formula unit


Copy entry 1 word for word.
A relaxed structure of PrY3Sc2, computed with PBE-GGA.

Its crystal system is monoclinic. The total energy is -5.98 eV/atom. The calculation puts the magnetic moment at 0.0 μB per formula unit.

The structure belongs to space group C2/m (No. 12); the cell edges are 22.867, 3.420 and 9.970 Å and the angles 90.00°, 107.93° and 90.00°. The inequivalent atoms are Pr at (0.182, 0.000, 0.048), Y at (0.060, 0.000, 0.437), Y at (0.066, 0.500, 0.772), Y at (0.197, 0.000, 0.709), Sc at (0.070, 0.500, 0.143) and Sc at (0.192, 0.000, 0.375).